First-principles (PBE+U) data for an optimized crystal structure of MnFeBiO4, as listed in the Alexandria database.

Unit cell a=5.7320 b=5.5839 c=6.4746 alpha=90.00 beta=106.77 gamma=90.00
Last column: nearest neighbours and their distance in Å.
Sites, in units of the cell vectors:
1 Mn 0.2814 0.7500 0.3454  4 O 1.94-2.02
2 Mn 0.7186 0.2500 0.6546  4 O 1.94-2.02
3 Fe 0.8682 0.7500 0.5022  5 O 2.05-2.18
4 Fe 0.1318 0.2500 0.4978  5 O 2.05-2.18
5 Bi 0.7260 0.7500 0.9750  2 O 2.14-2.32
6 Bi 0.2740 0.2500 0.0250  2 O 2.14-2.32
7 O 0.9921 0.4701 0.7137  1 Mn 1.94, 1 Fe 2.06
8 O 0.0079 0.9701 0.2863  1 Mn 1.94, 1 Fe 2.06
9 O 0.0079 0.5299 0.2863  1 Mn 1.94, 1 Fe 2.06
10 O 0.9921 0.0299 0.7137  1 Mn 1.94, 1 Fe 2.06
11 O 0.4081 0.7500 0.0850  1 Mn 2.02, 1 Bi 2.14
12 O 0.5919 0.2500 0.9150  1 Mn 2.02, 1 Bi 2.14
13 O 0.5601 0.7500 0.6022  1 Mn 1.95, 1 Fe 2.05
14 O 0.4399 0.2500 0.3978  1 Mn 1.95, 1 Fe 2.05

Output
* space-group type: P2_1/m (11)
* E_tot: -89.15 eV/cell
* total moment: 16.0 Bohr magnetons per cell